1.
This record from Alexandria describes crystalline CrFe2As6 at its relaxed geometry. The functional is PBE.

Cell: 5.3903 2.8974 18.3337 Å, 90.00 90.13 90.00°
Closest atoms and distances in Å follow each position.
Sites, in units of the cell vectors:
Cr 0.0006 0.0000 0.3315  6 As 2.48-2.49
Cr 0.9994 0.0000 0.6685  6 As 2.48-2.49
Fe 0.0000 0.0000 0.0000  6 As 2.37-2.40
Fe 0.4953 0.5000 0.8376  6 As 2.36-2.40
Fe 0.5000 0.5000 0.5000  6 As 2.37-2.38
Fe 0.5047 0.5000 0.1624  6 As 2.36-2.40
As 0.1793 0.0000 0.7933  2 Fe 2.38, 1 Cr 2.48, 1 As 2.54
As 0.1822 0.0000 0.1180  3 Fe 2.37-2.40, 1 As 2.54
As 0.1820 0.0000 0.4565  2 Fe 2.38, 1 Cr 2.49, 1 As 2.53
As 0.3194 0.5000 0.9551  3 Fe 2.36-2.40, 1 As 2.55
As 0.3333 0.5000 0.6197  1 Fe 2.37, 2 Cr 2.48, 1 As 2.54
As 0.3336 0.5000 0.2823  1 Fe 2.39, 2 Cr 2.48, 1 As 2.54
As 0.6664 0.5000 0.7177  1 Fe 2.39, 2 Cr 2.48, 1 As 2.54
As 0.6667 0.5000 0.3803  1 Fe 2.37, 2 Cr 2.48, 1 As 2.54
As 0.6806 0.5000 0.0449  3 Fe 2.36-2.40, 1 As 2.55
As 0.8180 0.0000 0.5435  2 Fe 2.38, 1 Cr 2.49, 1 As 2.53
As 0.8178 0.0000 0.8820  3 Fe 2.37-2.40, 1 As 2.54
As 0.8207 0.0000 0.2067  2 Fe 2.38, 1 Cr 2.48, 1 As 2.54

Calculated values
calculated total energy = -6.254 eV per atom
formation enthalpy at 0 K = -1.84 eV per formula unit



2.
This record from Alexandria describes crystalline Cr2FeAs at its relaxed geometry. The functional is PBE.

Cell: 3.0616 3.0616 5.3198 Å, 90.00 90.00 90.00°
Closest atoms and distances in Å follow each position.
Sites, in units of the cell vectors:
Cr 0.0000 0.0000 0.2502  4 As 2.54, 4 Fe 2.54, 2 Cr 2.66
Cr 0.0000 0.0000 0.7498  4 As 2.54, 4 Fe 2.54, 2 Cr 2.66
Fe 0.5000 0.5000 0.0000  8 Cr 2.54, 2 As 2.66
As 0.5000 0.5000 0.5000  8 Cr 2.54, 2 Fe 2.66

Calculated values
calculated total energy = -7.922 eV per atom
formation enthalpy at 0 K = 0.67 eV per formula unit



3.
This record from Alexandria describes crystalline Cr2FeAs at its relaxed geometry. The functional is PBE.

Cell: 4.4665 4.4665 4.4665 Å, 131.87 131.87 70.44°
Closest atoms and distances in Å follow each position.
Sites, in units of the cell vectors:
Cr 0.0000 0.0000 0.0000  4 As 2.58, 4 Cr 2.58, 4 Fe 2.58
Cr 0.7500 0.2500 0.5000  4 Fe 2.58, 4 Cr 2.58, 4 As 2.58
Fe 0.2500 0.7500 0.5000  8 Cr 2.58, 4 As 2.58
As 0.5000 0.5000 0.0000  8 Cr 2.58, 4 Fe 2.58

Calculated values
calculated total energy = -7.994 eV per atom
formation enthalpy at 0 K = 0.38 eV per formula unit



4.
This record from Alexandria describes crystalline CrFeAs4 at its relaxed geometry. The functional is PBE.

Cell: 5.6974 6.2198 6.0944 Å, 90.00 105.14 90.00°
Closest atoms and distances in Å follow each position.
Sites, in units of the cell vectors:
Cr 0.0000 0.0000 0.0000  4 As 2.48-2.50
Cr 0.0000 0.5000 0.5000  4 As 2.48-2.50
Fe 0.5000 0.0000 0.5000  6 As 2.35-2.42
Fe 0.5000 0.5000 0.0000  6 As 2.35-2.42
As 0.0979 0.1299 0.4015  1 Fe 2.35, 1 As 2.45, 2 Cr 2.48-2.50
As 0.0979 0.3701 0.9015  1 Fe 2.35, 1 As 2.45, 2 Cr 2.48-2.50
As 0.4301 0.6416 0.3466  2 Fe 2.41-2.42, 1 As 2.54
As 0.4301 0.8584 0.8466  2 Fe 2.41-2.42, 1 As 2.54
As 0.5699 0.1416 0.1534  2 Fe 2.41-2.42, 1 As 2.54
As 0.5699 0.3584 0.6534  2 Fe 2.41-2.42, 1 As 2.54
As 0.9021 0.6299 0.0985  1 Fe 2.35, 1 As 2.45, 2 Cr 2.48-2.50
As 0.9021 0.8701 0.5985  1 Fe 2.35, 1 As 2.45, 2 Cr 2.48-2.50

Calculated values
calculated total energy = -6.097 eV per atom
formation enthalpy at 0 K = 0.10 eV per formula unit



5.
This record from Alexandria describes crystalline Cr2FeAs at its relaxed geometry. The functional is PBE.

Cell: 8.1037 8.1037 8.1037 Å, 19.19 19.19 19.19°
Closest atoms and distances in Å follow each position.
Sites, in units of the cell vectors:
Cr 0.2475 0.2475 0.2475  3 Fe 2.48, 3 As 2.57, 6 Cr 2.70
Cr 0.7525 0.7525 0.7525  3 Fe 2.48, 3 As 2.57, 6 Cr 2.70
Fe 0.5000 0.5000 0.5000  6 Cr 2.48, 6 Fe 2.70
As 0.0000 0.0000 0.0000  6 Cr 2.57, 6 As 2.70

Calculated values
calculated total energy = -7.757 eV per atom
formation enthalpy at 0 K = 1.33 eV per formula unit



6.
This record from Alexandria describes crystalline CrFe3As at its relaxed geometry. The functional is PBE.

Cell: 4.2606 4.2606 4.2606 Å, 90.00 90.00 90.00°
Closest atoms and distances in Å follow each position.
Sites, in units of the cell vectors:
Cr 0.0000 0.0000 0.0000  6 Fe 2.13
Fe 0.0000 0.0000 0.5000  2 Cr 2.13
Fe 0.0000 0.5000 0.0000  2 Cr 2.13
Fe 0.5000 0.0000 0.0000  2 Cr 2.13
As 0.5000 0.5000 0.5000  12 Fe 3.01

Calculated values
calculated total energy = -6.788 eV per atom
formation enthalpy at 0 K = 5.72 eV per formula unit